No. 1
First-principles (PBE) data for an optimized crystal structure of La2Zn3Cu4, as listed in the Alexandria database.

Its total energy is -3.521 eV/atom. Its total magnetization is 0.00 Bohr magnetons per cell. As for the symmetry: Cmce.

a b c (Å): 5.702 7.503 8.274
angles (deg): 90.00 110.16 90.00
Atoms (fractional coordinates):
Cu1 0.177 0.987 0.354
Cu2 0.677 0.513 0.354
Cu3 0.310 0.250 0.120
Cu4 0.323 0.487 0.646
Cu5 0.823 0.013 0.646
Cu6 0.190 0.750 0.880
Cu7 0.810 0.250 0.120
Cu8 0.690 0.750 0.880
Zn1 0.975 0.250 0.451
Zn2 0.025 0.750 0.549
Zn3 0.475 0.250 0.451
Zn4 0.000 0.000 0.000
Zn5 0.525 0.750 0.549
Zn6 0.500 0.500 0.000
La1 0.614 0.917 0.228
La2 0.886 0.417 0.772
La3 0.386 0.083 0.772
La4 0.114 0.583 0.228

=====

No. 2
First-principles (PBE) data for an optimized crystal structure of LaZn2Cu8, as listed in the Alexandria database.

Its total energy is -3.452 eV/atom. Its total magnetization is 0.00 Bohr magnetons per cell. As for the symmetry: P4/mmm.

a b c (Å): 6.273 6.273 4.781
angles (deg): 90.00 90.00 90.00
Atoms (fractional coordinates):
Cu1 0.806 0.806 0.250
Cu2 0.806 0.194 0.750
Cu3 0.194 0.194 0.750
Cu4 0.194 0.806 0.250
Cu5 0.806 0.194 0.250
Cu6 0.194 0.806 0.750
Cu7 0.806 0.806 0.750
Cu8 0.194 0.194 0.250
La1 0.500 0.500 0.500
Zn1 0.500 0.000 0.000
Zn2 0.000 0.500 0.000

=====

No. 3
First-principles (PBE) data for an optimized crystal structure of La8ZnCu2, as listed in the Alexandria database.

Its total energy is -4.546 eV/atom. Its total magnetization is 0.00 Bohr magnetons per cell. As for the symmetry: C2/m.

a b c (Å): 5.268 7.153 9.722
angles (deg): 108.28 105.72 90.00
Atoms (fractional coordinates):
La1 0.973 0.223 0.946
La2 0.805 0.665 0.611
La3 0.195 0.335 0.389
La4 0.411 0.529 0.822
La5 0.027 0.777 0.054
La6 0.674 0.997 0.348
La7 0.326 0.003 0.652
La8 0.589 0.471 0.178
Zn1 0.500 0.000 0.000
Cu1 0.175 0.726 0.350
Cu2 0.825 0.274 0.650

=====

No. 4
First-principles (PBE) data for an optimized crystal structure of LaZn6Cu12, as listed in the Alexandria database.

Its total energy is -3.224 eV/atom. Its total magnetization is 0.00 Bohr magnetons per cell. As for the symmetry: R-3m.

a b c (Å): 6.793 6.793 6.793
angles (deg): 102.92 102.92 102.92
Atoms (fractional coordinates):
Zn1 0.696 0.283 0.283
Zn2 0.717 0.304 0.717
Zn3 0.283 0.696 0.283
Zn4 0.304 0.717 0.717
Zn5 0.283 0.283 0.696
Zn6 0.717 0.717 0.304
Cu1 0.379 0.379 0.115
Cu2 0.889 0.111 0.500
Cu3 0.379 0.115 0.379
Cu4 0.885 0.621 0.621
Cu5 0.621 0.885 0.621
Cu6 0.500 0.111 0.889
Cu7 0.500 0.889 0.111
Cu8 0.621 0.621 0.885
Cu9 0.111 0.889 0.500
Cu10 0.111 0.500 0.889
Cu11 0.115 0.379 0.379
Cu12 0.889 0.500 0.111
La1 0.000 0.000 0.000

=====

No. 5
First-principles (PBE) data for an optimized crystal structure of LaZnCu, as listed in the Alexandria database.

Its total energy is -3.717 eV/atom. Its total magnetization is 0.00 Bohr magnetons per cell. As for the symmetry: C2/m.

a b c (Å): 4.507 5.560 6.004
angles (deg): 77.48 67.96 66.09
Atoms (fractional coordinates):
Cu1 0.843 0.607 0.708
Cu2 0.157 0.393 0.292
Zn1 0.826 0.242 0.107
Zn2 0.174 0.758 0.893
La1 0.546 0.200 0.707
La2 0.454 0.800 0.293

=====

No. 6
First-principles (PBE) data for an optimized crystal structure of La2Zn5Cu4, as listed in the Alexandria database.

The polymorph energy (0 for the lowest one) comes out at 0.000 eV/atom. Its total magnetization is 0.00 Bohr magnetons per cell. As for the symmetry: Fmmm.

a b c (Å): 5.434 5.293 8.511
angles (deg): 80.57 71.38 59.12
Atoms (fractional coordinates):
La1 0.135 0.000 0.730
La2 0.865 0.000 0.270
Cu1 0.217 0.304 0.261
Cu2 0.783 0.696 0.739
Cu3 0.478 0.304 0.739
Cu4 0.522 0.696 0.261
Zn1 0.750 0.500 0.500
Zn2 0.500 0.000 0.000
Zn3 0.000 0.500 0.000
Zn4 0.500 0.500 0.000
Zn5 0.250 0.500 0.500

=====

No. 7
First-principles (PBE) data for an optimized crystal structure of LaZnCu, as listed in the Alexandria database.

Its total energy is -3.155 eV/atom. Its total magnetization is 0.00 Bohr magnetons per cell. As for the symmetry: F-43m.

a b c (Å): 4.876 4.876 4.876
angles (deg): 60.00 60.00 60.00
Atoms (fractional coordinates):
Cu1 0.500 0.500 0.500
Zn1 0.000 0.000 0.000
La1 0.750 0.750 0.750

=====

No. 8
First-principles (PBE) data for an optimized crystal structure of LaZn6Cu2, as listed in the Alexandria database.

Its total energy is -2.103 eV/atom. Its total magnetization is 0.00 Bohr magnetons per cell. As for the symmetry: Fd-3m.

a b c (Å): 8.108 8.108 8.108
angles (deg): 60.00 60.00 60.00
Atoms (fractional coordinates):
La1 0.750 0.750 0.750
La2 0.500 0.500 0.500
Zn1 0.767 0.767 0.233
Zn2 0.017 0.483 0.017
Zn3 0.483 0.483 0.017
Zn4 0.483 0.017 0.017
Zn5 0.767 0.233 0.233
Zn6 0.233 0.767 0.767
Zn7 0.483 0.017 0.483
Zn8 0.017 0.483 0.483
Zn9 0.767 0.233 0.767
Zn10 0.233 0.767 0.233
Zn11 0.017 0.017 0.483
Zn12 0.233 0.233 0.767
Cu1 0.625 0.125 0.125
Cu2 0.125 0.125 0.625
Cu3 0.125 0.125 0.125
Cu4 0.125 0.625 0.125

=====

No. 9
First-principles (PBE) data for an optimized crystal structure of LaZnCu5, as listed in the Alexandria database.

Its total energy is -3.999 eV/atom. Its total magnetization is 0.00 Bohr magnetons per cell. As for the symmetry: Pnma.

a b c (Å): 5.156 8.237 10.321
angles (deg): 90.00 90.00 90.00
Atoms (fractional coordinates):
Cu1 0.503 0.935 0.310
Cu2 0.497 0.565 0.810
Cu3 0.750 0.064 0.898
Cu4 0.250 0.181 0.247
Cu5 0.750 0.819 0.753
Cu6 0.250 0.681 0.253
Cu7 0.250 0.093 0.485
Cu8 0.750 0.407 0.985
Cu9 0.503 0.435 0.190
Cu10 0.003 0.065 0.690
Cu11 0.003 0.565 0.810
Cu12 0.250 0.936 0.102
Cu13 0.997 0.935 0.310
Cu14 0.250 0.436 0.398
Cu15 0.750 0.564 0.602
Cu16 0.750 0.319 0.747
Cu17 0.497 0.065 0.690
Cu18 0.997 0.435 0.190
Cu19 0.250 0.593 0.015
Cu20 0.750 0.907 0.515
La1 0.250 0.739 0.562
La2 0.750 0.261 0.438
La3 0.250 0.239 0.938
La4 0.750 0.761 0.062
Zn1 0.250 0.855 0.861
Zn2 0.250 0.355 0.639
Zn3 0.750 0.645 0.361
Zn4 0.750 0.145 0.139

=====

No. 10
First-principles (PBE) data for an optimized crystal structure of LaZn4Cu4, as listed in the Alexandria database.

Its total energy is -3.014 eV/atom. Its total magnetization is 0.00 Bohr magnetons per cell. As for the symmetry: I4/m.

a b c (Å): 4.359 8.423 8.423
angles (deg): 90.00 90.00 90.00
Atoms (fractional coordinates):
Cu1 0.000 0.330 0.776
Cu2 0.500 0.830 0.276
Cu3 0.000 0.224 0.330
Cu4 0.000 0.776 0.670
Cu5 0.500 0.170 0.724
Cu6 0.500 0.276 0.170
Cu7 0.500 0.724 0.830
Cu8 0.000 0.670 0.224
Zn1 0.000 0.605 0.896
Zn2 0.000 0.896 0.395
Zn3 0.000 0.395 0.104
Zn4 0.500 0.105 0.396
Zn5 0.500 0.895 0.604
Zn6 0.500 0.396 0.895
Zn7 0.000 0.104 0.605
Zn8 0.500 0.604 0.105
La1 0.000 0.000 0.000
La2 0.500 0.500 0.500

=====

No. 11
First-principles (PBE) data for an optimized crystal structure of La2Zn2Cu3, as listed in the Alexandria database.

The polymorph energy (0 for the lowest one) comes out at 0.000 eV/atom. Its total magnetization is 0.00 Bohr magnetons per cell. As for the symmetry: Cmcm.

a b c (Å): 9.450 9.450 7.256
angles (deg): 90.00 90.00 154.04
Atoms (fractional coordinates):
Cu1 0.442 0.558 0.576
Cu2 0.558 0.442 0.424
Cu3 0.228 0.772 0.750
Cu4 0.442 0.558 0.924
Cu5 0.772 0.228 0.250
Cu6 0.558 0.442 0.076
La1 0.937 0.063 0.250
La2 0.063 0.937 0.750
La3 0.153 0.847 0.250
La4 0.847 0.153 0.750
Zn1 0.309 0.691 0.437
Zn2 0.691 0.309 0.563
Zn3 0.309 0.691 0.063
Zn4 0.691 0.309 0.937

=====

No. 12
First-principles (PBE) data for an optimized crystal structure of La3ZnCu, as listed in the Alexandria database.

The polymorph energy (0 for the lowest one) comes out at 0.000 eV/atom. Its total magnetization is 0.00 Bohr magnetons per cell. As for the symmetry: Cmcm.

a b c (Å): 5.307 5.309 10.213
angles (deg): 90.00 74.94 90.00
Atoms (fractional coordinates):
La1 0.893 0.750 0.862
La2 0.391 0.250 0.867
La3 0.755 0.250 0.138
La4 0.573 0.250 0.502
La5 0.258 0.750 0.133
La6 0.075 0.750 0.498
Zn1 0.168 0.250 0.311
Zn2 0.480 0.750 0.689
Cu1 0.667 0.750 0.315
Cu2 0.982 0.250 0.685

=====

No. 13
First-principles (PBE) data for an optimized crystal structure of LaZn2Cu6, as listed in the Alexandria database.

Its total energy is -3.226 eV/atom. Its total magnetization is 0.00 Bohr magnetons per cell. As for the symmetry: Fd-3m.

a b c (Å): 7.800 7.800 7.800
angles (deg): 60.00 60.00 60.00
Atoms (fractional coordinates):
Cu1 0.246 0.754 0.754
Cu2 0.246 0.754 0.246
Cu3 0.754 0.246 0.754
Cu4 0.246 0.246 0.754
Cu5 0.754 0.246 0.246
Cu6 0.496 0.004 0.004
Cu7 0.004 0.004 0.496
Cu8 0.754 0.754 0.246
Cu9 0.004 0.496 0.004
Cu10 0.004 0.496 0.496
Cu11 0.496 0.496 0.004
Cu12 0.496 0.004 0.496
Zn1 0.625 0.125 0.125
Zn2 0.125 0.125 0.125
Zn3 0.125 0.625 0.125
Zn4 0.125 0.125 0.625
La1 0.750 0.750 0.750
La2 0.500 0.500 0.500

=====

No. 14
First-principles (PBE) data for an optimized crystal structure of LaZn4Cu8, as listed in the Alexandria database.

Its total energy is -3.397 eV/atom. Its total magnetization is 0.00 Bohr magnetons per cell. As for the symmetry: I4/mmm.

a b c (Å): 4.936 6.680 6.680
angles (deg): 82.15 68.32 68.32
Atoms (fractional coordinates):
Cu1 0.642 0.358 0.358
Cu2 0.270 0.230 0.230
Cu3 0.500 0.770 0.230
Cu4 0.358 0.642 0.642
Cu5 0.000 0.358 0.642
Cu6 0.500 0.230 0.770
Cu7 0.000 0.642 0.358
Cu8 0.730 0.770 0.770
Zn1 0.000 0.000 0.500
Zn2 0.500 0.000 0.500
Zn3 0.500 0.500 0.000
Zn4 0.000 0.500 0.000
La1 0.000 0.000 0.000

=====

No. 15
First-principles (PBE) data for an optimized crystal structure of La4Zn2Cu, as listed in the Alexandria database.

Its total energy is -3.888 eV/atom. Its total magnetization is 0.00 Bohr magnetons per cell. As for the symmetry: R-3m.

a b c (Å): 5.245 5.245 9.006
angles (deg): 73.07 73.07 60.00
Atoms (fractional coordinates):
Cu1 0.000 0.000 0.000
La1 0.875 0.875 0.374
La2 0.376 0.376 0.873
La3 0.125 0.125 0.626
La4 0.624 0.624 0.127
Zn1 0.249 0.249 0.252
Zn2 0.751 0.751 0.748

=====

No. 16
First-principles (PBE) data for an optimized crystal structure of La3Zn4Cu4, as listed in the Alexandria database.

The polymorph energy (0 for the lowest one) comes out at 0.000 eV/atom. Its total magnetization is 0.00 Bohr magnetons per cell. As for the symmetry: P-1.

a b c (Å): 3.978 4.278 13.626
angles (deg): 80.94 81.65 90.27
Atoms (fractional coordinates):
La1 0.150 0.651 0.700
La2 0.850 0.349 0.300
La3 0.000 0.000 0.000
Cu1 0.454 0.453 0.095
Cu2 0.546 0.547 0.905
Cu3 0.306 0.806 0.387
Cu4 0.694 0.194 0.613
Zn1 0.748 0.749 0.503
Zn2 0.598 0.098 0.804
Zn3 0.402 0.902 0.196
Zn4 0.252 0.251 0.497

=====

No. 17
First-principles (PBE) data for an optimized crystal structure of LaZnCu, as listed in the Alexandria database.

Its total energy is -3.724 eV/atom. Its total magnetization is 0.00 Bohr magnetons per cell. As for the symmetry: P2/m.

a b c (Å): 3.747 4.520 8.983
angles (deg): 120.01 89.99 90.03
Atoms (fractional coordinates):
La1 0.363 0.603 0.803
La2 0.363 0.566 0.267
Zn1 0.863 0.251 0.452
Zn2 0.863 0.918 0.618
Cu1 0.863 0.250 0.950
Cu2 0.863 0.920 0.120

=====

No. 18
First-principles (PBE) data for an optimized crystal structure of La2Zn5Cu3, as listed in the Alexandria database.

The polymorph energy (0 for the lowest one) comes out at 0.000 eV/atom. Its total magnetization is 0.00 Bohr magnetons per cell. As for the symmetry: C2/c.

a b c (Å): 5.564 8.741 8.741
angles (deg): 94.97 71.45 71.45
Atoms (fractional coordinates):
La1 0.285 0.857 0.574
La2 0.215 0.426 0.143
La3 0.785 0.574 0.857
La4 0.715 0.143 0.426
Zn1 0.670 0.920 0.742
Zn2 0.170 0.742 0.920
Zn3 0.750 0.797 0.203
Zn4 0.250 0.500 0.500
Zn5 0.250 0.203 0.797
Zn6 0.330 0.080 0.258
Zn7 0.830 0.258 0.080
Zn8 0.250 0.798 0.202
Zn9 0.750 0.500 0.500
Zn10 0.750 0.202 0.798
Cu1 0.904 0.744 0.449
Cu2 0.250 0.000 0.000
Cu3 0.096 0.256 0.551
Cu4 0.596 0.551 0.256
Cu5 0.404 0.449 0.744
Cu6 0.750 0.000 0.000

=====

No. 19
First-principles (PBE) data for an optimized crystal structure of LaZnCu, as listed in the Alexandria database.

Its total energy is -3.557 eV/atom. Its total magnetization is 0.00 Bohr magnetons per cell. As for the symmetry: F-43m.

a b c (Å): 4.671 4.671 4.671
angles (deg): 60.00 60.00 60.00
Atoms (fractional coordinates):
Zn1 0.500 0.500 0.500
Cu1 0.750 0.750 0.750
La1 0.000 0.000 0.000

=====

No. 20
First-principles (PBE) data for an optimized crystal structure of LaZnCu, as listed in the Alexandria database.

Its total energy is -3.553 eV/atom. Its total magnetization is 0.00 Bohr magnetons per cell. As for the symmetry: I4mm.

a b c (Å): 5.955 5.955 5.955
angles (deg): 146.98 147.04 47.35
Atoms (fractional coordinates):
Zn1 0.369 0.369 0.000
Cu1 0.967 0.967 0.000
La1 0.664 0.664 0.000